Entry 1:
This record from Alexandria via LeMat-Bulk describes SbMoOs2 at its PBEsol-relaxed geometry. The functional is SCAN.

Unit cell a=2.8942 b=4.7433 c=4.8639 alpha=97.67 beta=107.31 gamma=90.00
Last column: nearest neighbours and their distance in Å.
Fractional coordinates of all 4 atoms:
Mo 0.0000 0.5000 0.0000  6 Os 2.74-2.80, 4 Sb 2.78, 2 Mo 2.89
Os 0.2617 0.2696 0.5234  6 Os 2.66-2.92, 3 Sb 2.71-2.96, 3 Mo 2.74-2.80
Sb 0.5000 0.0000 0.0000  6 Os 2.71-2.96, 4 Mo 2.78, 2 Sb 2.89
Os 0.7383 0.7304 0.4766  6 Os 2.66-2.92, 3 Sb 2.71-2.96, 3 Mo 2.74-2.80

Values from the calculation:
Uncorrected formation energy in kJ/mol of atoms: 44.6
Calculated total energy in eV per atom: -53.51
Symmetry: C2/m, No. 12

---

Entry 2:
This record from Alexandria via LeMat-Bulk describes BeCuSe2 at its PBEsol-relaxed geometry. The functional is SCAN.

Unit cell a=3.3154 b=3.3154 c=6.2587 alpha=90.00 beta=90.00 gamma=90.00
Last column: nearest neighbours and their distance in Å.
Fractional coordinates of all 4 atoms:
Cu 0.5000 0.5000 0.7540  5 Se 2.40-2.45
Se 0.5000 0.5000 0.3703  1 Cu 2.40, 4 Be 2.49
Se 0.0000 0.0000 0.8704  1 Be 2.29, 4 Cu 2.45
Be 0.0000 0.0000 0.5053  5 Se 2.29-2.49

Values from the calculation:
Uncorrected formation energy in kJ/mol of atoms: -16.0
Calculated total energy in eV per atom: -15.09
Symmetry: P4mm, No. 99

---

Entry 3:
This record from Alexandria via LeMat-Bulk describes RbLa2YHf at its PBEsol-relaxed geometry. The functional is SCAN.

Unit cell a=5.3407 b=5.4898 c=5.4898 alpha=90.00 beta=90.00 gamma=90.00
Last column: nearest neighbours and their distance in Å.
Fractional coordinates of all 5 atoms:
Hf 0.5000 0.5000 0.5000  8 La 3.83, 4 Y 3.88
La 0.0000 0.5000 0.0000  2 Rb 2.74
Rb 0.0000 0.0000 0.0000  2 Y 2.67, 4 La 2.74
La 0.0000 0.0000 0.5000  2 Rb 2.74
Y 0.5000 0.0000 0.0000  2 Rb 2.67

Values from the calculation:
Energy of formation from the pure elements in eV per atom: 1.42
Calculated total energy in eV per atom: -38.08
Symmetry: P4/mmm, No. 123

---

Entry 4:
This record from Alexandria via LeMat-Bulk describes BaSn3Br at its PBEsol-relaxed geometry. The functional is SCAN.

Unit cell a=5.5802 b=5.5802 c=5.5802 alpha=90.00 beta=90.00 gamma=90.00
Last column: nearest neighbours and their distance in Å.
Fractional coordinates of all 5 atoms:
Sn 0.5000 0.0000 0.0000  2 Br 2.79
Br 0.0000 0.0000 0.0000  6 Sn 2.79
Sn 0.0000 0.0000 0.5000  2 Br 2.79
Sn 0.0000 0.5000 0.0000  2 Br 2.79
Ba 0.5000 0.5000 0.5000  12 Sn 3.95

Values from the calculation:
Uncorrected formation energy in kJ/mol of atoms: 11.0
Calculated total energy in eV per atom: -33.24
Symmetry: Pm-3m, No. 221